Below is crystalline Ba5Sb2SO at its relaxed geometry, with properties calculated at the PBE level.

The structure in extended XYZ format:
```
9
Lattice="-4.355 2.734 -0.927 -1.387 -0.510 5.012 6.014 10.506 2.734" Properties=species:S:1:pos:R:3 pbc="T T T"
Ba 1.469 2.567 0.668
Ba -2.871 1.112 2.043
S 0.000 0.000 0.000
Sb -1.126 4.161 2.836
Ba 2.314 4.998 3.873
Ba 4.545 7.940 2.066
Ba 0.830 6.620 0.904
O 3.007 5.253 1.367
Sb 1.398 8.569 3.983
```

- Total energy: -4.5588 eV/atom
- Space-group type: No. 123
- Raw formation energy: -1.565 eV/atom

---

Below is crystalline CaPrNd6Sm2 at its relaxed geometry, with properties calculated at the PBE level.

The structure in extended XYZ format:
```
20
Lattice="-5.656 7.512 3.379 -2.425 -5.703 6.670 7.800 4.623 0.827" Properties=species:S:1:pos:R:3 pbc="T T T"
Ca 2.267 2.341 4.026
Nd 0.547 7.564 2.946
Nd 3.774 6.079 3.847
Sm 0.928 2.098 7.457
Sm 0.584 -0.467 2.322
Nd -5.629 3.195 9.294
Nd 1.887 8.222 6.452
Sm -1.209 4.335 3.420
Sm -0.864 6.900 8.554
Pr 3.309 10.006 3.503
Nd -0.828 -1.131 7.930
Ca -2.548 4.091 6.851
Nd 0.831 5.125 6.000
Nd -2.167 -1.789 4.424
Nd -1.743 7.282 5.310
Pr -3.590 -3.573 7.373
Nd -1.111 1.308 4.876
Nd 5.349 3.238 1.582
Nd -4.054 0.354 7.029
Nd 1.462 -0.850 5.566
```

- Total energy: -4.3589 eV/atom
- Space-group type: No. 15
- Energy of formation: 1.24 eV/f.u.

---

Below is crystalline InGaPbCl6 at its relaxed geometry, with properties calculated at the PBE level.

The structure in extended XYZ format:
```
9
Lattice="7.051 0.000 0.000 3.526 6.106 0.000 0.000 0.000 6.672" Properties=species:S:1:pos:R:3 pbc="T T T"
Pb 7.051 4.071 3.336
Cl 1.572 2.070 1.917
In 7.051 0.000 6.672
Cl 4.532 3.710 1.917
Cl 2.519 3.709 4.755
Ga 3.526 2.035 3.336
Cl 5.479 2.070 4.755
Cl 4.472 0.327 1.917
Cl 2.579 0.326 4.755
```

- Total energy: -3.3111 eV/atom
- Space-group type: No. 149
- Raw formation energy: -1.027 eV/atom